(a)
# Sr2LaH

A geometry-optimized Sr2LaH structure (GGA-PBE, the Alexandria database).

Magnetic moment   0.0017 μB/atom
DOS at the Fermi energy   1.16 states/eV/atom

Geometry as extended XYZ:
```
12
Lattice="3.811 0.000 0.000 -1.905 3.300 0.000 0.000 0.000 31.893" Properties=species:S:1:pos:R:3 pbc="T T T"
Sr 0.000 0.000 3.706
Sr 0.000 0.000 28.187
Sr 0.000 2.200 17.556
Sr 0.000 2.200 24.968
Sr 1.905 1.100 6.925
Sr 1.905 1.100 14.337
La 0.000 0.000 0.000
La 0.000 2.200 21.262
La 1.905 1.100 10.631
H 0.000 0.000 15.946
H 0.000 2.200 5.315
H 1.905 1.100 26.577
```


(b)
# Sr2LaH

A geometry-optimized Sr2LaH structure (GGA-PBE, the Alexandria database).

Magnetic moment   0.2484 μB/atom
DOS at the Fermi energy   0.90 states/eV/atom

Geometry as extended XYZ:
```
16
Lattice="7.648 0.000 0.000 0.000 7.648 0.000 0.000 0.000 10.068" Properties=species:S:1:pos:R:3 pbc="T T T"
Sr 0.579 1.912 1.258
Sr 1.912 4.403 3.775
Sr 1.912 7.070 8.809
Sr 3.246 1.912 6.292
Sr 4.403 5.736 6.292
Sr 5.736 0.579 8.809
Sr 5.736 3.246 3.775
Sr 7.070 5.736 1.258
La 0.000 0.000 5.034
La 0.000 3.824 7.551
La 3.824 0.000 2.517
La 3.824 3.824 0.000
H 0.000 0.000 0.000
H 0.000 3.824 2.517
H 3.824 0.000 7.551
H 3.824 3.824 5.034
```


Question: which arrangement is favored energetically? Ranking from most to least stable: (b), (a).


(a)
# SrLa2H

A geometry-optimized SrLa2H structure (GGA-PBE, the Alexandria database).

Magnetic moment   0.0005 μB/atom
DOS at the Fermi energy   1.83 states/eV/atom

Geometry as extended XYZ:
```
16
Lattice="7.574 0.000 0.000 0.000 7.574 0.000 0.000 0.000 9.564" Properties=species:S:1:pos:R:3 pbc="T T T"
Sr 0.000 0.000 0.000
Sr 0.000 3.787 2.391
Sr 3.787 0.000 7.173
Sr 3.787 3.787 4.782
La 0.580 1.894 5.977
La 1.894 4.367 8.368
La 1.894 6.994 3.586
La 3.207 1.894 1.195
La 4.367 5.681 1.195
La 5.681 0.580 3.586
La 5.681 3.207 8.368
La 6.994 5.681 5.977
H 0.000 0.000 4.782
H 0.000 3.787 7.173
H 3.787 0.000 2.391
H 3.787 3.787 0.000
```


(b)
# SrLa2H

A geometry-optimized SrLa2H structure (GGA-PBE, the Alexandria database).

Magnetic moment   0.0000 μB/atom
DOS at the Fermi energy   2.03 states/eV/atom

Geometry as extended XYZ:
```
16
Lattice="8.080 0.000 0.000 0.000 8.080 0.000 0.000 0.000 8.080" Properties=species:S:1:pos:R:3 pbc="T T T"
Sr 0.000 0.000 0.000
Sr 0.000 4.040 4.040
Sr 4.040 0.000 4.040
Sr 4.040 4.040 0.000
La 2.020 2.020 2.020
La 2.020 2.020 6.060
La 2.020 6.060 2.020
La 2.020 6.060 6.060
La 6.060 2.020 2.020
La 6.060 2.020 6.060
La 6.060 6.060 2.020
La 6.060 6.060 6.060
H 0.000 0.000 4.040
H 0.000 4.040 0.000
H 4.040 0.000 0.000
H 4.040 4.040 4.040
```


(c)
# SrLa2H

A geometry-optimized SrLa2H structure (GGA-PBE, the Alexandria database).

Magnetic moment   0.0033 μB/atom
DOS at the Fermi energy   1.30 states/eV/atom

Geometry as extended XYZ:
```
12
Lattice="3.785 0.000 0.000 -1.893 3.278 0.000 0.000 0.000 30.861" Properties=species:S:1:pos:R:3 pbc="T T T"
Sr 0.000 0.000 0.000
Sr 0.000 2.186 20.574
Sr 1.893 1.093 10.287
La 0.000 0.000 3.687
La 0.000 0.000 27.174
La 0.000 2.186 16.887
La 0.000 2.186 24.261
La 1.893 1.093 6.600
La 1.893 1.093 13.974
H 0.000 0.000 15.431
H 0.000 2.186 5.144
H 1.893 1.093 25.718
```


Question: which arrangement is favored energetically? Ranking from most to least stable: (a), (c), (b).


(a)
# SrLa3H

A geometry-optimized SrLa3H structure (GGA-PBE, the Alexandria database).

Magnetic moment   0.0000 μB/atom
DOS at the Fermi energy   1.50 states/eV/atom

Geometry as extended XYZ:
```
5
Lattice="5.400 0.000 0.000 0.000 5.400 0.000 0.000 0.000 5.400" Properties=species:S:1:pos:R:3 pbc="T T T"
Sr 0.000 0.000 0.000
La 0.000 2.700 2.700
La 2.700 0.000 2.700
La 2.700 2.700 0.000
H 2.700 2.700 2.700
```


(b)
# SrLa3H

A geometry-optimized SrLa3H structure (GGA-PBE, the Alexandria database).

Magnetic moment   0.0000 μB/atom
DOS at the Fermi energy   1.19 states/eV/atom

Geometry as extended XYZ:
```
5
Lattice="6.035 0.000 0.000 0.000 6.035 0.000 0.000 0.000 6.035" Properties=species:S:1:pos:R:3 pbc="T T T"
Sr 0.000 0.000 0.000
La 0.000 0.000 3.018
La 0.000 3.018 0.000
La 3.018 0.000 0.000
H 3.018 3.018 3.018
```


Question: which arrangement is favored energetically? Ranking from most to least stable: (a), (b).


(a)
# Sr3LaH

A geometry-optimized Sr3LaH structure (GGA-PBE, the Alexandria database).

Magnetic moment   0.0000 μB/atom
DOS at the Fermi energy   3.76 states/eV/atom

Geometry as extended XYZ:
```
5
Lattice="6.424 0.000 0.000 0.000 6.424 0.000 0.000 0.000 6.424" Properties=species:S:1:pos:R:3 pbc="T T T"
Sr 0.000 0.000 3.212
Sr 0.000 3.212 0.000
Sr 3.212 0.000 0.000
La 0.000 0.000 0.000
H 3.212 3.212 3.212
```


(b)
# Sr3LaH

A geometry-optimized Sr3LaH structure (GGA-PBE, the Alexandria database).

Magnetic moment   0.1843 μB/atom
DOS at the Fermi energy   1.08 states/eV/atom

Geometry as extended XYZ:
```
5
Lattice="5.687 0.000 0.000 0.000 5.687 0.000 0.000 0.000 5.687" Properties=species:S:1:pos:R:3 pbc="T T T"
Sr 0.000 0.000 2.844
Sr 0.000 2.844 0.000
Sr 2.844 0.000 0.000
La 2.844 2.844 2.844
H 0.000 0.000 0.000
```


Question: which arrangement is favored energetically? Ranking from most to least stable: (b), (a).


(a)
# SrLa2TlH

A geometry-optimized SrLa2TlH structure (GGA-PBE, the Alexandria database).

Magnetic moment   0.0000 μB/atom
DOS at the Fermi energy   1.27 states/eV/atom

Geometry as extended XYZ:
```
5
Lattice="5.093 0.000 0.000 0.000 5.093 0.000 0.000 0.000 5.390" Properties=species:S:1:pos:R:3 pbc="T T T"
Sr 0.000 0.000 0.000
La 0.000 2.547 2.695
La 2.547 0.000 2.695
Tl 2.547 2.547 0.000
H 0.000 0.000 2.695
```


(b)
# SrLa2TlH

A geometry-optimized SrLa2TlH structure (GGA-PBE, the Alexandria database).

Magnetic moment   0.0000 μB/atom
DOS at the Fermi energy   1.04 states/eV/atom

Geometry as extended XYZ:
```
5
Lattice="5.072 0.000 0.000 0.000 5.072 0.000 0.000 0.000 5.449" Properties=species:S:1:pos:R:3 pbc="T T T"
Sr 0.000 0.000 0.000
La 0.000 2.536 2.724
La 2.536 0.000 2.724
Tl 2.536 2.536 0.000
H 2.536 2.536 2.724
```


Question: which arrangement is favored energetically? Ranking from most to least stable: (a), (b).


(a)
# LaTaH3

A geometry-optimized LaTaH3 structure (GGA-PBE, the Alexandria database).

Magnetic moment   0.0001 μB/atom
DOS at the Fermi energy   0.65 states/eV/atom

Geometry as extended XYZ:
```
5
Lattice="4.130 0.000 0.000 0.000 4.130 0.000 0.000 0.000 4.130" Properties=species:S:1:pos:R:3 pbc="T T T"
La 0.000 0.000 0.000
Ta 2.065 2.065 2.065
H 0.000 0.000 2.065
H 0.000 2.065 0.000
H 2.065 0.000 0.000
```


(b)
# LaTaH3

A geometry-optimized LaTaH3 structure (GGA-PBE, the Alexandria database).

Magnetic moment   0.0000 μB/atom
DOS at the Fermi energy   0.47 states/eV/atom

Geometry as extended XYZ:
```
5
Lattice="3.910 0.000 0.000 0.000 3.910 0.000 0.000 0.000 3.910" Properties=species:S:1:pos:R:3 pbc="T T T"
La 0.000 0.000 0.000
Ta 1.955 1.955 1.955
H 0.000 1.955 1.955
H 1.955 0.000 1.955
H 1.955 1.955 0.000
```


Question: which arrangement is favored energetically? Ranking from most to least stable: (b), (a).